# 1
Density functional theory data (PBE-GGA) for an optimized crystal structure of Ho2ErTm12.

Computed properties:
The value obtained for the formation energy is 0.075 eV per atom.

The structure in POSCAR format:
```
Ho2ErTm12
1.0
6.4498 -1.4056 0.2431
-1.4056 6.4498 0.2432
0.1422 0.1424 23.0753
Tm Ho Er
24 4 2
Direct
0.8551 0.3552 0.5757 Tm
0.4819 0.4819 0.0667 Tm
0.2867 0.7867 0.8535 Tm
0.9819 0.9819 0.0667 Tm
0.0804 0.0804 0.6779 Tm
0.7133 0.2133 0.1465 Tm
0.7015 0.7015 0.1926 Tm
0.8602 0.8601 0.5572 Tm
0.1399 0.1397 0.4428 Tm
0.9196 0.9196 0.3221 Tm
0.6398 0.6399 0.4428 Tm
0.3601 0.3603 0.5572 Tm
0.2133 0.7133 0.1465 Tm
0.2015 0.2015 0.1926 Tm
0.3553 0.8554 0.5757 Tm
0.7867 0.2867 0.8535 Tm
0.1447 0.6446 0.4243 Tm
0.2985 0.2985 0.8074 Tm
0.5181 0.5181 0.9333 Tm
0.5804 0.5804 0.6779 Tm
0.6449 0.1448 0.4243 Tm
0.7985 0.7985 0.8074 Tm
0.4196 0.4196 0.3221 Tm
0.0181 0.0181 0.9333 Tm
0.4287 0.9287 0.2844 Ho
0.5713 0.0713 0.7156 Ho
0.0713 0.5713 0.7156 Ho
0.9287 0.4287 0.2844 Ho
0.0000 0.5000 0.0000 Er
0.5000 0.0000 0.0000 Er
```

***

# 2
Density functional theory data (PBE-GGA) for an optimized crystal structure of K2BeFe.

Computed properties:
The value obtained for the formation energy is 1.300 eV per atom.

The structure in POSCAR format:
```
K2BeFe
1.0
-1.9074 -4.4501 -1.3104
2.2901 -0.0656 -3.1108
6.4290 -2.7383 -0.0591
Be Fe K
1 1 2
Direct
0.5000 0.2500 0.2500 Be
0.5000 0.7500 0.7500 Fe
0.0000 0.5000 0.4990 K
0.0000 0.0000 0.0010 K
```

***

# 3
Density functional theory data (PBE-GGA) for an optimized crystal structure of LaSm2As.

Computed properties:
The value obtained for the formation energy is -0.631 eV per atom.

The structure in POSCAR format:
```
LaSm2As
1.0
-1.5855 -1.6463 -3.2646
-0.2050 -3.9660 -0.3329
-9.2316 -1.7724 2.9449
Sm La As
2 1 1
Direct
0.0607 0.0607 0.8178 Sm
0.2726 0.2726 0.1821 Sm
0.5003 0.5003 0.4990 La
0.6663 0.6663 0.0011 As
```

***

# 4
Density functional theory data (PBE-GGA) for an optimized crystal structure of Al2TlAg.

Computed properties:
The value obtained for the formation energy is 0.166 eV per atom.

The structure in POSCAR format:
```
Al2TlAg
1.0
3.1375 0.0000 0.0000
0.0000 3.1375 0.0000
0.0000 0.0000 8.3662
Al Tl Ag
2 1 1
Direct
0.0000 0.0000 0.5432 Al
0.0000 0.0000 0.9568 Al
0.5000 0.5000 0.2500 Tl
0.5000 0.5000 0.7500 Ag
```

***

# 5
Density functional theory data (PBE-GGA) for an optimized crystal structure of AlTc2H2.

Computed properties:
For the total energy, the calculation gives -6.33 eV/atom.

The structure in POSCAR format:
```
AlTc2H2
1.0
-1.8003 -1.3463 2.0869
2.4651 -1.2822 1.2994
0.8412 2.7959 4.7836
H Tc Al
2 2 1
Direct
0.7500 0.2500 0.5000 H
0.2500 0.7500 0.5000 H
0.3503 0.3503 0.2993 Tc
0.6497 0.6497 0.7007 Tc
0.0000 0.0000 0.0000 Al
```

***

# 6
Density functional theory data (PBE-GGA) for an optimized crystal structure of MgAg2F4.

Computed properties:
For the total energy, the calculation gives -4.16 eV/atom.

The structure in POSCAR format:
```
MgAg2F4
1.0
-3.6017 -1.6180 -0.1434
0.2486 -0.8937 3.8406
-0.8648 6.7845 -0.3976
F Ag Mg
4 2 1
Direct
0.1614 0.1614 0.3227 F
0.5000 0.0000 0.0000 F
0.0000 0.5000 0.0000 F
0.8386 0.8386 0.6773 F
0.6529 0.6529 0.3057 Ag
0.3471 0.3471 0.6943 Ag
0.0000 0.0000 0.0000 Mg
```

***

# 7
Density functional theory data (PBE-GGA) for an optimized crystal structure of LiIn2HPb.

Computed properties:
For the total energy, the calculation gives -2.87 eV/atom.

The structure in POSCAR format:
```
LiIn2HPb
1.0
-3.6843 1.4388 3.4331
0.0739 -4.8011 2.0915
2.8121 1.1483 2.5367
H Li Pb In
1 1 1 2
Direct
0.0000 0.0000 0.0000 H
0.0000 0.0000 0.5000 Li
0.5000 0.5000 0.5000 Pb
0.0000 0.5000 0.0000 In
0.5000 0.0000 0.0000 In
```

***

# 8
Density functional theory data (PBE-GGA) for an optimized crystal structure of Tb3VPd12.

Computed properties:
The value obtained for the formation energy is -0.710 eV per atom.

The structure in POSCAR format:
```
Tb3VPd12
1.0
4.0747 0.0000 0.0000
0.0000 4.0747 0.0000
0.0000 0.0000 16.2454
Tb Pd V
3 12 1
Direct
0.0000 0.0000 0.2451 Tb
0.0000 0.0000 0.7549 Tb
0.0000 0.0000 0.5000 Tb
0.0000 0.5000 0.8896 Pd
0.0000 0.5000 0.3707 Pd
0.5000 0.5000 0.7596 Pd
0.5000 0.5000 0.0000 Pd
0.5000 0.0000 0.6293 Pd
0.0000 0.5000 0.1104 Pd
0.0000 0.5000 0.6293 Pd
0.5000 0.0000 0.8896 Pd
0.5000 0.0000 0.3707 Pd
0.5000 0.0000 0.1104 Pd
0.5000 0.5000 0.5000 Pd
0.5000 0.5000 0.2404 Pd
0.0000 0.0000 0.0000 V
```